[1]
Compound: Tm4In2Co
Source: Alexandria
Functional: PBE
Structure: relaxed

The structure belongs to space group P2/m (No. 10); the cell edges are 6.344, 3.576 and 8.832 Å and the angles 90.00°, 110.20° and 90.00°. The inequivalent atoms are Tm at (0.128, 0.000, 0.262), Tm at (0.338, 0.500, 0.647), In at (0.262, 0.500, 0.997) and Co at (0.500, 0.000, 0.500).

The formation energy comes out at -0.22 eV/atom. For the final energy, the calculation gives -4.573 eV/atom. The calculation puts the magnetization at 0.0 Bohr magnetons per cell.

=====

[2]
Compound: Tm3InCo
Source: Alexandria
Functional: PBE
Structure: relaxed

The structure belongs to space group C2/m (No. 12); the cell edges are 11.603, 5.262 and 8.904 Å and the angles 90.00°, 112.91° and 90.00°. The inequivalent atoms are Tm at (0.108, 0.000, 0.218), Tm at (0.117, 0.500, 0.912), Tm at (0.155, 0.000, 0.666), In at (0.110, 0.500, 0.449) and Co at (0.138, 0.000, 0.944).

The formation energy comes out at -0.26 eV/atom. For the final energy, the calculation gives -4.913 eV/atom. The calculation puts the magnetization at 0.0 Bohr magnetons per cell.

=====

[3]
Compound: TmIn5Co
Source: Alexandria
Functional: PBE
Structure: relaxed

The structure belongs to space group P4/mmm (No. 123); the cell edges are 4.569, 4.569 and 7.452 Å and the angles 90.00°, 90.00° and 90.00°. The inequivalent atoms are Tm at (0.000, 0.000, 0.000), In at (0.000, 0.500, 0.305), In at (0.500, 0.500, 0.000) and Co at (0.000, 0.000, 0.500).

The formation energy comes out at -0.21 eV/atom. For the final energy, the calculation gives -3.820 eV/atom. The calculation puts the magnetization at 0.0 Bohr magnetons per cell.

=====

[4]
Compound: Tm3InCo
Source: Alexandria
Functional: PBE
Structure: relaxed

The structure belongs to space group P2_1/m (No. 11); the cell edges are 8.306, 3.784 and 8.514 Å and the angles 90.00°, 111.87° and 90.00°. The inequivalent atoms are Tm at (0.035, 0.250, 0.232), Tm at (0.316, 0.750, 0.575), Tm at (0.327, 0.250, 0.905), In at (0.344, 0.750, 0.211) and Co at (0.066, 0.250, 0.585).

The formation energy comes out at -0.30 eV/atom. For the final energy, the calculation gives -4.948 eV/atom. The calculation puts the magnetization at 0.0 Bohr magnetons per cell.

=====

> The highest final energy belongs to which entry?

TmIn5Co

=====

> What is the final energy in the second record?

-4.913 eV/atom

=====

> Look up the magnetization of the second one.

0.0 Bohr magnetons per cell